1.
Entry from the Alexandria database: a relaxed Sc2TaSb crystal (PBE).

Geometry as POSCAR:
```
Sc2TaSb
1.0
3.1686 0.0149 0.0000
-0.8737 3.0458 0.0000
0.0000 0.0000 9.2099
Sb Sc Ta
1 2 1
direct
0.5000 0.5000 0.7372
0.0000 0.0000 0.9866
0.5000 0.5000 0.2661
0.0000 0.0000 0.5101
```

## Properties
V (Å³/atom): 22.3
Formation energy without anion corrections (eV/atom): 0.002
Space-group type: Cmm2 (35)
M_tot (μB per atom): 0.0007
Fermi-level density of states (states/eV/f.u.): 5.20
Crystal system: orthorhombic

---

2.
Entry from the Alexandria database: a relaxed DyCuC crystal (PBE).

Geometry as POSCAR:
```
DyCuC
1.0
-2.3294 2.3431 -1.5308
-2.7586 1.3583 1.9492
6.3957 6.8995 0.8182
C Dy Cu
2 2 2
direct
0.4752 0.0493 0.0738
0.5248 0.9507 0.9262
0.3881 0.2227 0.3322
0.6119 0.7773 0.6678
0.1299 0.7392 0.1083
0.8701 0.2608 0.8917
```

## Properties
V (Å³/atom): 17.6
Space-group type: C2/m (12)
M_tot (μB per atom): 0.0001
Fermi-level density of states (states/eV/f.u.): 1.20
Crystal system: monoclinic
VASP energy (eV/atom): -5.6711

---

3.
Entry from the Alexandria database: a relaxed La2TcRu crystal (PBE).

Geometry as POSCAR:
```
La2TcRu
1.0
-3.2843 3.5156 1.3986
-3.7410 -3.2946 -0.5025
0.3651 -0.9784 3.4172
La Ru Tc
2 1 1
direct
0.0000 0.0000 0.0000
0.5000 0.5000 0.0000
0.5000 0.0000 0.5000
0.0000 0.5000 0.5000
```

## Properties
V (Å³/atom): 22.4
Energy above the lowest structure with this stoichiometry (eV/atom): 0.191
Space-group type: C2/m (12)
M_tot (μB per atom): 0.0000
Fermi-level density of states (states/eV/f.u.): 5.79
Crystal system: monoclinic

---

4.
Entry from the Alexandria database: a relaxed ZrBe3Tc crystal (PBE).

Geometry as POSCAR:
```
ZrBe3Tc
1.0
4.1427 0.0000 0.0000
0.0000 4.1427 0.0000
0.0000 0.0000 4.1427
Be Tc Zr
3 1 1
direct
0.0000 0.5000 0.0000
0.0000 0.0000 0.5000
0.5000 0.0000 0.0000
0.0000 0.0000 0.0000
0.5000 0.5000 0.5000
```

## Properties
V (Å³/atom): 14.2
Energy above the lowest structure with this stoichiometry (eV/atom): 0.000
Space-group type: Pm-3m (221)
M_tot (μB per atom): 0.0000
Fermi-level density of states (states/eV/f.u.): 2.18
Crystal system: cubic

---

5.
Entry from the Alexandria database: a relaxed Dy3Ga4Pt4 crystal (PBE).

Geometry as POSCAR:
```
Dy3Ga4Pt4
1.0
4.4055 0.0000 0.0000
0.0000 3.7149 0.0000
-2.2027 -1.8574 13.0872
Dy Ga Pt
3 4 4
direct
0.3566 0.8566 0.7132
0.6434 0.1434 0.2868
0.0000 0.0000 0.0000
0.8088 0.3088 0.6177
0.4517 0.4517 0.9033
0.5483 0.5483 0.0967
0.1912 0.6912 0.3823
0.2576 0.2576 0.5152
0.0953 0.5953 0.1906
0.9047 0.4047 0.8094
0.7424 0.7424 0.4848
```

## Properties
V (Å³/atom): 19.5
Energy above the lowest structure with this stoichiometry (eV/atom): 0.073
Space-group type: Immm (71)
M_tot (μB per atom): 0.0000
Fermi-level density of states (states/eV/f.u.): 6.22
Crystal system: orthorhombic

---

6.
Entry from the Alexandria database: a relaxed CeSn3Pd2 crystal (PBE).

Geometry as POSCAR:
```
CeSn3Pd2
1.0
-4.0398 -2.0096 0.7087
5.7562 -6.8948 -1.4570
0.7198 2.2611 10.5150
Ce Sn Pd
3 9 6
direct
0.1562 0.3125 0.7026
0.8438 0.6875 0.2974
0.0000 0.0000 0.0000
0.0440 0.0879 0.3470
0.9560 0.9121 0.6530
0.2203 0.4405 0.3674
0.7797 0.5595 0.6326
0.6306 0.2612 0.1811
0.3694 0.7388 0.8189
0.5000 0.0000 0.5000
0.3381 0.6763 0.0709
0.6619 0.3237 0.9291
0.1892 0.3784 0.0939
0.8108 0.6216 0.9061
0.4859 0.9718 0.2212
0.5141 0.0282 0.7788
0.3561 0.7122 0.5529
0.6439 0.2878 0.4471
```

## Properties
V (Å³/atom): 23.1
Space-group type: C2/m (12)
M_tot (μB per atom): 0.1644
Fermi-level density of states (states/eV/f.u.): 8.16
Crystal system: monoclinic
VASP energy (eV/atom): -5.2798

---

7.
Entry from the Alexandria database: a relaxed AcZr2AuO8 crystal (PBE).

Geometry as POSCAR:
```
AcZr2AuO8
1.0
-3.1171 1.2056 3.7828
-3.9192 0.3758 -3.1528
-1.3990 -6.6017 0.9516
Ac Zr Au O
1 2 1 8
direct
0.0000 0.0000 0.5000
0.5000 0.5000 0.7555
0.5000 0.5000 0.2445
0.0000 0.0000 0.0000
0.1998 0.7879 0.2096
0.6991 0.7125 0.0000
0.8002 0.2121 0.2096
0.8002 0.2121 0.7904
0.3009 0.2875 0.0000
0.1998 0.7879 0.7904
0.6609 0.6770 0.5000
0.3391 0.3230 0.5000
```

## Properties
V (Å³/atom): 14.5
Formation energy without anion corrections (eV/atom): -2.177
Space-group type: P2/m (10)
M_tot (μB per atom): 0.0000
Fermi-level density of states (states/eV/f.u.): 3.47
Crystal system: monoclinic

---

8.
Entry from the Alexandria database: a relaxed LaCe2Th crystal (PBE).

Geometry as POSCAR:
```
LaCe2Th
1.0
4.9359 0.0000 0.0000
0.0000 3.2821 -1.1766
0.0000 -0.9210 7.7813
La Ce Th
1 2 1
direct
0.5000 0.5000 0.0000
0.0000 0.7387 0.7389
0.0000 0.2613 0.2611
0.5000 0.0000 0.5000
```

## Properties
V (Å³/atom): 30.2
Energy above the lowest structure with this stoichiometry (eV/atom): 0.003
Space-group type: Pmmm (47)
M_tot (μB per atom): 0.0001
Fermi-level density of states (states/eV/f.u.): 9.17
Crystal system: orthorhombic